14
Lattice="-2.572 5.073 -0.824 -3.667 0.686 -4.372 -5.653 0.560 1.053" Properties=species:S:1:pos:R:3 comment="PBE+U MgAl4NiO8, relaxed" final_energy_ev_per_atom=-6.898 total_magnetization_mub_per_atom=0.143 spacegroup=R3m volume_a3_per_atom=9.66 pbc="T T T"
Mg -7.259 2.660 -1.049
Al -4.654 3.652 -3.079
Al -4.648 0.636 -1.618
Al -4.115 2.771 0.109
Al -2.863 0.302 0.510
Ni -5.637 0.567 1.040
O -7.576 2.200 -2.894
O -6.985 4.567 -0.979
O -5.597 1.830 -0.535
O -3.082 1.539 -0.951
O -4.323 4.103 -1.333
O -4.889 1.835 -3.166
O -6.218 4.457 -3.592
O -8.875 4.757 -3.142